ErCd2Ni | PBE | optimized geometry

As for the size of the total moment: 0.000 μB per cell. Its volume is 22.0 A^3/atom. As for the crystal system: trigonal. For the total energy, the calculation gives -2.7346 eV/atom.

The structure belongs to space group R-3m (No. 166, hexagonal axes); the cell edges are 3.1419, 3.1419 and 30.8119 Å and the angles 90.00°, 90.00° and 120.00°. The asymmetric unit holds Er at (0.0000, 0.0000, 0.0000), Cd at (0.0000, 0.0000, 0.1018) and Ni at (0.0000, 0.0000, 0.5000).